[1]
Material: NaCrCuSe2
Method: DFT, GGA-PBE
State: optimized geometry

Lattice parameters (Å, degrees): 5.116 4.460 5.116 90.00 90.00 90.00
Site moments in Bohr magnetons follow the coordinates.
Element x y z (fractional)
Cr  0.500  0.500  0.500  4.04
Cu  0.000  0.500  0.000  -0.01
Se  0.000  0.000  0.500  -0.21
Se  0.500  0.000  0.000  -0.23
Na  0.000  0.000  0.000  0.00

Results
Formation energy (no corrections) in eV per atom: 0.84
Magnetization in μB/f.u.: 3.9
Energy in eV per atom: -3.562
E above lowest polymorph in meV per atom: 1298

---

[2]
Material: K3BiF7
Method: DFT, GGA-PBE
State: optimized geometry

Lattice parameters (Å, degrees): 6.233 6.233 6.874 64.26 64.26 87.88
Site moments in Bohr magnetons follow the coordinates.
Element x y z (fractional)
K  0.769  0.231  0.490  0.00
K  0.497  0.497  0.941  0.00
K  0.231  0.769  0.490  0.00
Bi  0.954  0.954  0.038  0.17
F  0.131  0.131  0.161  0.08
F  0.647  0.125  0.198  0.10
F  0.987  0.308  0.738  0.10
F  0.125  0.647  0.198  0.10
F  0.658  0.658  0.402  0.09
F  0.308  0.987  0.738  0.10
F  0.818  0.818  0.857  0.09

Results
Formation energy (no corrections) in eV per atom: -2.53
Magnetization in μB/f.u.: 0.9
Energy in eV per atom: -4.377